An optimized crystal structure of HfNbAl2. Source: Alexandria via LeMat-Bulk, functional PBE.

Computed properties:
SG: No. 225
Energy of formation (meV/atom): -129
Energy relative to the lowest polymorph listed for this composition (meV/atom): 212
Uncorrected energy (eV for the cell shown): -28.025

a b c (Å): 4.648 4.648 4.648
angles (deg): 60.00 60.00 60.00
Fractional coordinates of all 4 atoms:
Al 0.750 0.750 0.750
Al 0.250 0.250 0.250
Nb 0.000 0.000 0.000
Hf 0.500 0.500 0.500